1.
## Pm2Sm4Tm (PBE)

Data for a relaxed structure of Pm2Sm4Tm.

Computed properties:
The calculation puts the relative energy among the computed polymorphs at 28 meV/atom. For the formation energy, the calculation gives 0.153 eV per atom.

Cell: 6.310 6.310 15.547 Å, 90.00 90.00 129.69°
Sites, in units of the cell vectors:
Pm 0.104 0.896 0.844
Pm 0.396 0.604 0.344
Pm 0.604 0.396 0.656
Pm 0.896 0.104 0.156
Sm 0.103 0.897 0.306
Sm 0.205 0.795 0.070
Sm 0.295 0.705 0.570
Sm 0.397 0.603 0.806
Sm 0.603 0.397 0.194
Sm 0.705 0.295 0.430
Sm 0.795 0.205 0.930
Sm 0.897 0.103 0.694
Tm 0.000 0.000 0.500
Tm 0.500 0.500 0.000



2.
## UFeSiC (PBE)

Data for a relaxed structure of UFeSiC.

Computed properties:
The value obtained for the uncorrected formation energy is -0.31 eV/atom.

Cell: 3.631 3.631 8.506 Å, 90.00 90.00 90.00°
Sites, in units of the cell vectors:
U 0.250 0.250 0.156
U 0.750 0.750 0.844
Fe 0.250 0.750 0.500
Fe 0.750 0.250 0.500
Si 0.250 0.250 0.665
Si 0.750 0.750 0.335
C 0.250 0.250 0.884
C 0.750 0.750 0.116



no.,calculated total energy (Ry/atom),N(E_F) (states/eV per atom),theoretical density (g/cm³)
1,-0.334,1.4132,7.4
2,-0.655,1.6514,9.9